*w*
CeAg3 | PBE-GGA | relaxed

Properties
Space group: Cmcm (63)
DOS(E_F), states/eV per cell: 16.77

abc: 5.7288 5.7288 7.4768
angles: 90.00 90.00 133.14
Last column: nearest neighbours and their distance in Å.
Fractional positions:
Ce: 0.0797 0.9203 0.7500  9 Ag 3.07-3.39
Ce: 0.9203 0.0797 0.2500  9 Ag 3.07-3.39
Ag: 0.2122 0.7878 0.2500  6 Ag 2.84, 3 Ce 3.07-3.16
Ag: 0.3716 0.6284 0.5564  5 Ag 2.83-2.89
Ag: 0.3716 0.6284 0.9436  5 Ag 2.83-2.89
Ag: 0.6284 0.3716 0.0564  5 Ag 2.83-2.89
Ag: 0.6284 0.3716 0.4436  5 Ag 2.83-2.89
Ag: 0.7878 0.2122 0.7500  6 Ag 2.84, 3 Ce 3.07-3.16

---

*x*
CeAg3 | PBE-GGA | relaxed

Properties
Space group: Pmm2 (25)
DOS(E_F), states/eV per cell: 6.89

abc: 3.0525 5.0382 5.6006
angles: 90.00 90.00 90.00
Last column: nearest neighbours and their distance in Å.
Fractional positions:
Ce: 0.0000 0.0000 0.0000  2 Ce 3.05, 10 Ag 3.18-3.20
Ag: 0.0000 0.5000 0.6533  8 Ag 2.91-3.06, 2 Ce 3.18
Ag: 0.5000 0.0000 0.5021  8 Ag 3.00-3.06, 4 Ce 3.18-3.20
Ag: 0.5000 0.5000 0.2118  6 Ag 2.91-3.05, 4 Ce 3.18

---

*y*
CeAg3 | PBE-GGA | relaxed

Properties
Space group: I4/mmm (139)
DOS(E_F), states/eV per cell: 8.45

abc: 5.0134 5.0134 5.0134
angles: 120.18 120.18 89.69
Last column: nearest neighbours and their distance in Å.
Fractional positions:
Ce: 0.0000 0.0000 0.0000  8 Ag 3.07
Ag: 0.2500 0.7500 0.5000  4 Ce 3.07, 4 Ag 3.07
Ag: 0.5000 0.5000 0.0000  8 Ag 3.07
Ag: 0.7500 0.2500 0.5000  4 Ce 3.07, 4 Ag 3.07

---

The structure with the least stability is *x*.

---

*w*
Ce5Ag | PBE-GGA | relaxed

Properties
Space group: Cmmm (65)
DOS(E_F), states/eV per cell: 15.87

abc: 8.8950 8.8950 3.2361
angles: 90.00 90.00 144.11
Last column: nearest neighbours and their distance in Å.
Fractional positions:
Ce: 0.0000 0.0000 0.0000  6 Ce 3.09-3.24, 4 Ag 3.18
Ce: 0.1558 0.8442 0.5000  10 Ce 3.09-3.45
Ce: 0.3359 0.6641 0.0000  8 Ce 3.19-3.45, 2 Ag 3.21
Ce: 0.6641 0.3359 0.0000  8 Ce 3.19-3.45, 2 Ag 3.21
Ce: 0.8442 0.1558 0.5000  10 Ce 3.09-3.45
Ag: 0.5000 0.5000 0.5000  8 Ce 3.18-3.21, 2 Ag 3.24

---

*x*
Ce5Ag | PBE-GGA | relaxed

Properties
Space group: P-6m2 (187)
DOS(E_F), states/eV per cell: 16.03

abc: 3.1976 3.1976 16.9060
angles: 90.00 90.00 120.00
Last column: nearest neighbours and their distance in Å.
Fractional positions:
Ce: 0.0000 0.0000 0.0000  12 Ce 3.20-3.41
Ce: 0.0000 0.0000 0.3413  9 Ce 3.20-3.43, 3 Ag 3.26
Ce: 0.0000 0.0000 0.6587  9 Ce 3.20-3.43, 3 Ag 3.26
Ce: 0.3333 0.6667 0.1699  12 Ce 3.20-3.43
Ce: 0.3333 0.6667 0.8301  12 Ce 3.20-3.43
Ag: 0.3333 0.6667 0.5000  6 Ag 3.20, 6 Ce 3.26

---

The structure with the least stability is *x*.

---

*w*
Rb2CeAgCl6 | PBE-GGA | relaxed

Properties
Space group: P2_1/c (14)
DOS(E_F), states/eV per cell: 16.57

abc: 7.5765 7.8322 13.0661
angles: 90.00 124.90 90.00
Last column: nearest neighbours and their distance in Å.
Fractional positions:
Rb: 0.2323 0.0585 0.2489  8 Cl 3.35-3.75
Rb: 0.2323 0.4415 0.7489  8 Cl 3.35-3.75
Rb: 0.7677 0.5585 0.2511  8 Cl 3.35-3.75
Rb: 0.7677 0.9415 0.7511  8 Cl 3.35-3.75
Ce: 0.5000 0.0000 0.0000  6 Cl 2.76-2.77
Ce: 0.5000 0.5000 0.5000  6 Cl 2.76-2.77
Ag: 0.0000 0.0000 0.5000  6 Cl 2.74-2.85
Ag: 0.0000 0.5000 0.0000  6 Cl 2.74-2.85
Cl: 0.1654 0.2022 0.9580  1 Ce 2.76, 1 Ag 2.85
Cl: 0.1654 0.2978 0.4580  1 Ce 2.76, 1 Ag 2.85
Cl: 0.2581 0.7105 0.9587  1 Ce 2.77, 1 Ag 2.84
Cl: 0.2581 0.7895 0.4587  1 Ce 2.77, 1 Ag 2.84
Cl: 0.3299 0.0196 0.7485  1 Ag 2.74, 1 Ce 2.76
Cl: 0.3299 0.4804 0.2485  1 Ag 2.74, 1 Ce 2.76
Cl: 0.6701 0.5196 0.7515  1 Ag 2.74, 1 Ce 2.76
Cl: 0.6701 0.9804 0.2515  1 Ag 2.74, 1 Ce 2.76
Cl: 0.7419 0.2105 0.5413  1 Ce 2.77, 1 Ag 2.84
Cl: 0.7419 0.2895 0.0413  1 Ce 2.77, 1 Ag 2.84
Cl: 0.8346 0.7022 0.5420  1 Ce 2.76, 1 Ag 2.85
Cl: 0.8346 0.7978 0.0420  1 Ce 2.76, 1 Ag 2.85

---

*x*
Rb2CeAgCl6 | PBE-GGA | relaxed

Properties
Space group: Fm-3m (225)
DOS(E_F), states/eV per cell: 8.29

abc: 7.7493 7.7493 7.7493
angles: 60.00 60.00 60.00
Last column: nearest neighbours and their distance in Å.
Fractional positions:
Rb: 0.2500 0.2500 0.2500  12 Cl 3.87
Rb: 0.7500 0.7500 0.7500  12 Cl 3.87
Ce: 0.0000 0.0000 0.0000  6 Cl 2.74
Ag: 0.5000 0.5000 0.5000  6 Cl 2.74
Cl: 0.2500 0.2500 0.7500  1 Ag 2.74, 1 Ce 2.74
Cl: 0.2500 0.7500 0.2500  1 Ag 2.74, 1 Ce 2.74
Cl: 0.2500 0.7500 0.7500  1 Ag 2.74, 1 Ce 2.74
Cl: 0.7500 0.2500 0.2500  1 Ag 2.74, 1 Ce 2.74
Cl: 0.7500 0.2500 0.7500  1 Ag 2.74, 1 Ce 2.74
Cl: 0.7500 0.7500 0.2500  1 Ag 2.74, 1 Ce 2.74

---

The structure with the least stability is *x*.

---

*w*
Ce2CoAg | PBE-GGA | relaxed

Properties
Space group: R3m (160)
DOS(E_F), states/eV per cell: 9.30

abc: 7.7725 7.7725 7.7725
angles: 29.06 29.06 29.06
Last column: nearest neighbours and their distance in Å.
Fractional positions:
Ce: 0.0000 0.0000 0.0000  3 Co 2.69
Ce: 0.2012 0.2012 0.2012  3 Co 2.69
Co: 0.6005 0.6005 0.6005  6 Ce 2.69
Ag: 0.7673 0.7673 0.7673  6 Ce 3.18

---

*x*
Ce2CoAg | PBE-GGA | relaxed

Properties
Space group: P4/mmm (123)
DOS(E_F), states/eV per cell: 8.30

abc: 3.5268 3.5268 6.9816
angles: 90.00 90.00 90.00
Last column: nearest neighbours and their distance in Å.
Fractional positions:
Ce: 0.0000 0.0000 0.2023  1 Ce 2.82, 4 Co 2.87
Ce: 0.0000 0.0000 0.7977  1 Ce 2.82, 4 Co 2.87
Co: 0.5000 0.5000 0.0000  8 Ce 2.87
Ag: 0.5000 0.5000 0.5000  8 Ce 3.25, 2 Co 3.49, 4 Ag 3.53

---

*y*
Ce2CoAg | PBE-GGA | relaxed

Properties
Space group: R-3m (166)
DOS(E_F), states/eV per cell: 8.18

abc: 8.0365 8.0365 8.0365
angles: 27.29 27.29 27.29
Last column: nearest neighbours and their distance in Å.
Fractional positions:
Ce: 0.2335 0.2335 0.2335  3 Co 2.68
Ce: 0.7665 0.7665 0.7665  3 Co 2.68
Co: 0.5000 0.5000 0.5000  6 Ce 2.68
Ag: 0.0000 0.0000 0.0000  6 Ce 3.19

---

The structure with the least stability is *w*.

---

*w*
CeCuAg2 | PBE-GGA | relaxed

Properties
Space group: P4/mmm (123)
DOS(E_F), states/eV per cell: 5.42

abc: 3.1612 3.1612 7.6964
angles: 90.00 90.00 90.00
Last column: nearest neighbours and their distance in Å.
Fractional positions:
Ce: 0.0000 0.0000 0.0000  4 Ce 3.16, 8 Ag 3.23
Cu: 0.0000 0.0000 0.5000  8 Ag 2.70
Ag: 0.5000 0.5000 0.3027  4 Cu 2.70
Ag: 0.5000 0.5000 0.6973  4 Cu 2.70

---

*x*
CeCuAg2 | PBE-GGA | relaxed

Properties
Space group: Cmcm (63)
DOS(E_F), states/eV per cell: 14.63

abc: 5.4227 5.4227 7.7079
angles: 90.00 90.00 134.16
Last column: nearest neighbours and their distance in Å.
Fractional positions:
Ce: 0.0671 0.9329 0.7500  3 Cu 2.90-2.97
Ce: 0.9329 0.0671 0.2500  3 Cu 2.90-2.97
Cu: 0.2232 0.7768 0.2500  6 Ag 2.72, 3 Ce 2.90-2.97
Cu: 0.7768 0.2232 0.7500  6 Ag 2.72, 3 Ce 2.90-2.97
Ag: 0.3585 0.6415 0.5556  3 Cu 2.72, 2 Ag 2.95-3.00
Ag: 0.3585 0.6415 0.9444  3 Cu 2.72, 2 Ag 2.95-3.00
Ag: 0.6415 0.3585 0.0556  3 Cu 2.72, 2 Ag 2.95-3.00
Ag: 0.6415 0.3585 0.4444  3 Cu 2.72, 2 Ag 2.95-3.00

---

The structure with the least stability is *w*.

---

*w*
CeCuAg | PBE-GGA | relaxed

Properties
Space group: I4mm (107)
DOS(E_F), states/eV per cell: 5.83

abc: 5.8153 5.8153 5.8153
angles: 145.93 145.93 48.95
Last column: nearest neighbours and their distance in Å.
Fractional positions:
Ce: 0.0000 0.0000 0.0000  5 Cu 3.06-3.41, 5 Ag 3.16-3.22, 4 Ce 3.41
Cu: 0.3217 0.3217 0.0000  4 Ag 2.72
Ag: 0.7016 0.7016 0.0000  4 Cu 2.72

---

*x*
CeCuAg | PBE-GGA | relaxed

Properties
Space group: P-6m2 (187)
DOS(E_F), states/eV per cell: 6.19

abc: 4.6854 4.6854 3.2661
angles: 90.00 90.00 120.00
Last column: nearest neighbours and their distance in Å.
Fractional positions:
Ce: 0.0000 0.0000 0.0000  6 Cu 3.16, 6 Ag 3.16, 2 Ce 3.27
Cu: 0.6667 0.3333 0.5000  3 Ag 2.71
Ag: 0.3333 0.6667 0.5000  3 Cu 2.71

---

The structure with the least stability is *w*.

---

*w*
Ce2CuAg | PBE-GGA | relaxed

Properties
Space group: P4/mmm (123)
DOS(E_F), states/eV per cell: 10.17

abc: 3.7426 3.7426 6.6880
angles: 90.00 90.00 90.00
Last column: nearest neighbours and their distance in Å.
Fractional positions:
Ce: 0.0000 0.0000 0.2126  1 Ce 2.84, 4 Cu 3.00
Ce: 0.0000 0.0000 0.7874  1 Ce 2.84, 4 Cu 3.00
Cu: 0.5000 0.5000 0.0000  8 Ce 3.00, 2 Ag 3.34
Ag: 0.5000 0.5000 0.5000  8 Ce 3.27, 2 Cu 3.34

---

*x*
Ce2CuAg | PBE-GGA | relaxed

Properties
Space group: P4/mmm (123)
DOS(E_F), states/eV per cell: 8.85

abc: 4.4321 4.4321 4.4590
angles: 90.00 90.00 90.00
Last column: nearest neighbours and their distance in Å.
Fractional positions:
Ce: 0.0000 0.5000 0.0000  4 Ce 3.13, 4 Cu 3.14, 4 Ag 3.14
Ce: 0.5000 0.0000 0.0000  4 Ce 3.13, 4 Cu 3.14, 4 Ag 3.14
Cu: 0.0000 0.0000 0.5000  4 Ag 3.13, 8 Ce 3.14
Ag: 0.5000 0.5000 0.5000  4 Cu 3.13, 8 Ce 3.14

---

The structure with the least stability is *x*.

---

*w*
CeDyAg4 | PBE-GGA | relaxed

Properties
Space group: F-43m (216)
DOS(E_F), states/eV per cell: 8.13

abc: 5.7294 5.7294 5.7294
angles: 60.00 60.00 60.00
Last column: nearest neighbours and their distance in Å.
Fractional positions:
Ce: 0.0000 0.0000 0.0000  12 Ag 3.36, 4 Dy 3.51
Dy: 0.7500 0.7500 0.7500  12 Ag 3.36, 4 Ce 3.51
Ag: 0.3753 0.3753 0.3753  6 Ag 2.86-2.87
Ag: 0.3753 0.3753 0.8741  6 Ag 2.86-2.87
Ag: 0.3753 0.8741 0.3753  6 Ag 2.86-2.87
Ag: 0.8741 0.3753 0.3753  6 Ag 2.86-2.87

---

*x*
CeDyAg4 | PBE-GGA | relaxed

Properties
Space group: C2/m (12)
DOS(E_F), states/eV per cell: 9.17

abc: 5.4266 5.4266 7.7618
angles: 110.60 110.60 39.60
Last column: nearest neighbours and their distance in Å.
Fractional positions:
Ce: 0.0000 0.0000 0.0000  10 Ag 3.11-3.18
Dy: 0.0000 0.0000 0.5000  10 Ag 3.08-3.10
Ag: 0.3271 0.3271 0.6556  5 Ag 2.97-3.26, 3 Dy 3.09-3.10, 2 Ce 3.18
Ag: 0.3286 0.3286 0.1748  5 Ag 3.03-3.26, 2 Dy 3.08, 3 Ce 3.11-3.17
Ag: 0.6714 0.6714 0.8252  5 Ag 3.03-3.26, 2 Dy 3.08, 3 Ce 3.11-3.17
Ag: 0.6729 0.6729 0.3444  5 Ag 2.97-3.26, 3 Dy 3.09-3.10, 2 Ce 3.18

---

The structure with the least stability is *w*.